Record 1
Compound: LaMn2InH
Source: the Alexandria database
Functional: PBE-GGA
Structure: relaxed

Properties
The total magnetization comes out at 5.23 μB per cell. The space group is P4/mmm. Its crystal system is tetragonal.

Cell: 4.785 4.785 6.466 Å, 90.00 90.00 90.00°
Positions (direct):
1 La 0.000 0.000 0.000
2 Mn 0.000 0.500 0.000
3 Mn 0.500 0.000 0.000
4 In 0.000 0.000 0.500
5 H 0.500 0.500 0.500

Record 2
Compound: Ti5Ge2C
Source: the Alexandria database
Functional: PBE-GGA
Structure: relaxed

Properties
The total magnetization comes out at 2.47 μB per cell. Its formation energy from the elements is -89 meV per atom. The space group is Cmcm. Its crystal system is orthorhombic.

Cell: 7.018 7.018 10.137 Å, 90.00 90.00 143.63°
Positions (direct):
1 Ti 0.078 0.922 0.618
2 Ti 0.078 0.922 0.882
3 Ti 0.286 0.714 0.568
4 Ti 0.286 0.714 0.932
5 Ti 0.297 0.703 0.250
6 Ti 0.703 0.297 0.750
7 Ti 0.714 0.286 0.068
8 Ti 0.714 0.286 0.432
9 Ti 0.922 0.078 0.118
10 Ti 0.922 0.078 0.382
11 Ge 0.123 0.877 0.123
12 Ge 0.123 0.877 0.377
13 Ge 0.877 0.123 0.623
14 Ge 0.877 0.123 0.877
15 C 0.195 0.805 0.750
16 C 0.805 0.195 0.250

Record 3
Compound: CaPIr4
Source: the Alexandria database
Functional: PBE-GGA
Structure: relaxed

Properties
The total magnetization comes out at 0.00 μB per cell. Its formation energy from the elements is -189 meV per atom. The calculation puts the energy above the most stable polymorph in this dataset at 0.0 meV per atom. The space group is Pmma. Its crystal system is orthorhombic.

Cell: 7.461 3.914 6.619 Å, 90.00 90.00 90.00°
Positions (direct):
1 Ca 0.250 0.000 0.126
2 Ca 0.750 0.000 0.874
3 P 0.250 0.000 0.717
4 P 0.750 0.000 0.283
5 Ir 0.000 0.000 0.500
6 Ir 0.053 0.500 0.805
7 Ir 0.250 0.500 0.444
8 Ir 0.447 0.500 0.805
9 Ir 0.500 0.000 0.500
10 Ir 0.553 0.500 0.195
11 Ir 0.750 0.500 0.556
12 Ir 0.947 0.500 0.195

Record 4
Compound: AgI2Br2
Source: the Alexandria database
Functional: PBE-GGA
Structure: relaxed

Properties
As for the uncorrected formation energy: 0.042 eV/atom. The total magnetization comes out at 0.00 μB per cell. The calculation puts the energy above the most stable polymorph in this dataset at 70.9 meV per atom. The space group is P4/mbm. Its crystal system is tetragonal.

Cell: 7.505 7.505 8.339 Å, 90.00 90.00 90.00°
Positions (direct):
1 Ag 0.000 0.000 0.000
2 Ag 0.500 0.500 0.000
3 I 0.165 0.335 0.000
4 I 0.335 0.835 0.000
5 I 0.665 0.165 0.000
6 I 0.835 0.665 0.000
7 Br 0.109 0.609 0.500
8 Br 0.391 0.109 0.500
9 Br 0.609 0.891 0.500
10 Br 0.891 0.391 0.500

Record 5
Compound: Sr3AlPd
Source: the Alexandria database
Functional: PBE-GGA
Structure: relaxed

Properties
The total magnetization comes out at 0.00 μB per cell. Its formation energy from the elements is -103 meV per atom. The calculation puts the energy above the most stable polymorph in this dataset at 0.0 meV per atom. The space group is Pm-3m. Its crystal system is cubic.

Cell: 5.832 5.832 5.832 Å, 90.00 90.00 90.00°
Positions (direct):
1 Sr 0.000 0.000 0.500
2 Sr 0.000 0.500 0.000
3 Sr 0.500 0.000 0.000
4 Al 0.500 0.500 0.500
5 Pd 0.000 0.000 0.000

Record 6
Compound: CsRb2MoS4
Source: the Alexandria database
Functional: PBE-GGA
Structure: relaxed

Properties
As for the uncorrected formation energy: -0.933 eV/atom. The total magnetization comes out at 2.03 μB per cell. The space group is I-4. Its crystal system is tetragonal.

Cell: 8.522 8.522 8.428 Å, 90.00 90.00 90.00°
Positions (direct):
1 Cs 0.000 0.000 0.000
2 Cs 0.500 0.500 0.500
3 Rb 0.000 0.000 0.500
4 Rb 0.000 0.500 0.250
5 Rb 0.500 0.000 0.750
6 Rb 0.500 0.500 0.000
7 Mo 0.000 0.500 0.750
8 Mo 0.500 0.000 0.250
9 S 0.146 0.339 0.598
10 S 0.161 0.646 0.902
11 S 0.339 0.854 0.402
12 S 0.354 0.161 0.098
13 S 0.646 0.839 0.098
14 S 0.661 0.146 0.402
15 S 0.839 0.354 0.902
16 S 0.854 0.661 0.598

Record 7
Compound: TlSiRu2Cl
Source: the Alexandria database
Functional: PBE-GGA
Structure: relaxed

Properties
As for the uncorrected formation energy: 0.806 eV/atom. The total magnetization comes out at 3.34 μB per cell. The space group is P4/mmm. Its crystal system is tetragonal.

Cell: 4.528 4.528 5.837 Å, 90.00 90.00 90.00°
Positions (direct):
1 Tl 0.000 0.000 0.000
2 Si 0.000 0.000 0.500
3 Ru 0.000 0.500 0.500
4 Ru 0.500 0.000 0.500
5 Cl 0.500 0.500 0.000

Record 8
Compound: Pm12Pr3Th
Source: the Alexandria database
Functional: PBE-GGA
Structure: relaxed

Properties
The total magnetization comes out at 0.00 μB per cell. Its formation energy from the elements is 21 meV per atom. The space group is P4/mmm. Its crystal system is tetragonal.

Cell: 5.173 5.173 20.687 Å, 90.00 90.00 90.00°
Positions (direct):
1 Pm 0.000 0.000 0.000
2 Pm 0.000 0.000 0.250
3 Pm 0.000 0.000 0.500
4 Pm 0.000 0.000 0.750
5 Pm 0.000 0.500 0.121
6 Pm 0.000 0.500 0.374
7 Pm 0.000 0.500 0.626
8 Pm 0.000 0.500 0.879
9 Pm 0.500 0.000 0.121
10 Pm 0.500 0.000 0.374
11 Pm 0.500 0.000 0.626
12 Pm 0.500 0.000 0.879
13 Pr 0.500 0.500 0.249
14 Pr 0.500 0.500 0.500
15 Pr 0.500 0.500 0.751
16 Th 0.500 0.500 0.000

Record 9
Compound: SmMgInAg
Source: the Alexandria database
Functional: PBE-GGA
Structure: relaxed

Properties
The total magnetization comes out at 0.00 μB per cell. Its formation energy from the elements is -359 meV per atom. The space group is F-43m. Its crystal system is cubic.

Cell: 7.222 7.222 7.222 Å, 90.00 90.00 90.00°
Positions (direct):
1 Sm 0.000 0.000 0.000
2 Sm 0.000 0.500 0.500
3 Sm 0.500 0.000 0.500
4 Sm 0.500 0.500 0.000
5 Mg 0.000 0.000 0.500
6 Mg 0.000 0.500 0.000
7 Mg 0.500 0.000 0.000
8 Mg 0.500 0.500 0.500
9 In 0.250 0.250 0.750
10 In 0.250 0.750 0.250
11 In 0.750 0.250 0.250
12 In 0.750 0.750 0.750
13 Ag 0.250 0.250 0.250
14 Ag 0.250 0.750 0.750
15 Ag 0.750 0.250 0.750
16 Ag 0.750 0.750 0.250

Record 10
Compound: NdHo4Zn
Source: the Alexandria database
Functional: PBE-GGA
Structure: relaxed

Properties
The total magnetization comes out at 0.00 μB per cell. Its formation energy from the elements is -2 meV per atom. The calculation puts the energy above the most stable polymorph in this dataset at 93.9 meV per atom. The space group is C2/c. Its crystal system is monoclinic.

Cell: 8.108 8.108 6.179 Å, 100.24 100.24 113.85°
Positions (direct):
1 Nd 0.101 0.899 0.750
2 Nd 0.899 0.101 0.250
3 Ho 0.118 0.334 0.869
4 Ho 0.214 0.576 0.447
5 Ho 0.334 0.118 0.369
6 Ho 0.424 0.786 0.053
7 Ho 0.576 0.214 0.947
8 Ho 0.666 0.882 0.631
9 Ho 0.786 0.424 0.553
10 Ho 0.882 0.666 0.131
11 Zn 0.500 0.500 0.250
12 Zn 0.500 0.500 0.750

Record 11
Compound: TaAlNi2
Source: the Alexandria database
Functional: PBE-GGA
Structure: relaxed

Properties
The total magnetization comes out at 0.00 μB per cell. Its formation energy from the elements is -246 meV per atom. The space group is I-4m2. Its crystal system is tetragonal.

Cell: 3.832 3.832 7.368 Å, 90.00 90.00 90.00°
Positions (direct):
1 Ta 0.000 0.000 0.000
2 Ta 0.500 0.500 0.500
3 Al 0.000 0.500 0.750
4 Al 0.500 0.000 0.250
5 Ni 0.000 0.000 0.500
6 Ni 0.000 0.500 0.250
7 Ni 0.500 0.000 0.750
8 Ni 0.500 0.500 0.000

Record 12
Compound: Tl6In3Hg
Source: the Alexandria database
Functional: PBE-GGA
Structure: relaxed

Properties
The total magnetization comes out at 0.00 μB per cell. Its formation energy from the elements is 25 meV per atom. The calculation puts the energy above the most stable polymorph in this dataset at 3.0 meV per atom. The space group is P2_1/m. Its crystal system is monoclinic.

Cell: 12.866 3.391 14.312 Å, 90.00 108.88 90.00°
Positions (direct):
1 Tl 0.097 0.250 0.210
2 Tl 0.162 0.750 0.786
3 Tl 0.239 0.250 0.601
4 Tl 0.282 0.750 0.404
5 Tl 0.338 0.750 0.191
6 Tl 0.365 0.250 0.984
7 Tl 0.635 0.750 0.016
8 Tl 0.662 0.250 0.809
9 Tl 0.718 0.250 0.596
10 Tl 0.761 0.750 0.399
11 Tl 0.838 0.250 0.214
12 Tl 0.903 0.750 0.790
13 In 0.028 0.750 0.409
14 In 0.115 0.750 0.999
15 In 0.488 0.750 0.606
16 In 0.512 0.250 0.394
17 In 0.885 0.250 0.001
18 In 0.972 0.250 0.591
19 Hg 0.424 0.750 0.801
20 Hg 0.576 0.250 0.199

no.,calculated total energy (eV/atom)
1,-4.0708
2,-7.3303
3,-7.3312
4,-1.8178
5,-2.8995
6,-4.6993
7,-4.8311
8,-4.9018
9,-3.3345
10,-4.0612
11,-7.0355
12,-2.2467